No. 1
First-principles (PBE-GGA) data for crystalline KBaCl at its relaxed geometry, as listed in the Alexandria database.

Structure (extended XYZ):
```
3
Lattice="0.000 3.914 8.599 2.206 0.000 8.599 2.206 3.914 0.000" Properties=species:S:1:pos:R:3 pbc="T T T"
K 0.000 0.000 0.000
Ba 2.206 3.914 4.581
Cl 2.206 3.914 10.905
```

Results
Crystal system = orthorhombic
Energy relative to the elements, uncorrected = -1.107 eV/atom
Space-group type = Fmm2 (42)

***

No. 2
First-principles (PBE-GGA) data for crystalline K6BaCl8 at its relaxed geometry, as listed in the Alexandria database.

Structure (extended XYZ):
```
15
Lattice="0.000 6.437 6.437 6.437 0.000 6.437 6.437 6.437 0.000" Properties=species:S:1:pos:R:3 pbc="T T T"
K 3.218 3.218 0.000
K 3.218 0.000 3.218
K 6.437 3.218 3.218
K 0.000 3.218 3.218
K 3.218 6.437 3.218
K 3.218 3.218 6.437
Ba 0.000 0.000 0.000
Cl 6.437 6.437 3.048
Cl 6.437 3.048 6.437
Cl 9.825 6.437 6.437
Cl 3.218 3.218 3.218
Cl 9.655 9.655 9.655
Cl 3.048 6.437 6.437
Cl 6.437 9.825 6.437
Cl 6.437 6.437 9.825
```

Results
Crystal system = cubic
Energy relative to the elements, uncorrected = -2.051 eV/atom
Space-group type = Fm-3m (225)

***

No. 3
First-principles (PBE-GGA) data for crystalline KBaCl at its relaxed geometry, as listed in the Alexandria database.

Structure (extended XYZ):
```
6
Lattice="5.241 0.000 0.000 0.000 5.241 0.000 0.000 0.000 11.940" Properties=species:S:1:pos:R:3 pbc="T T T"
K 1.310 1.310 1.129
K 3.931 3.931 10.811
Ba 1.310 1.310 7.729
Ba 3.931 3.931 4.211
Cl 1.310 3.931 5.970
Cl 3.931 1.310 5.970
```

Results
Crystal system = tetragonal
Energy relative to the elements, uncorrected = -1.164 eV/atom
Space-group type = P4/nmm (129)

***

No. 4
First-principles (PBE-GGA) data for crystalline KBaCl at its relaxed geometry, as listed in the Alexandria database.

Structure (extended XYZ):
```
3
Lattice="0.000 3.958 3.958 3.958 0.000 3.958 3.958 3.958 0.000" Properties=species:S:1:pos:R:3 pbc="T T T"
K 0.000 0.000 0.000
Ba 3.958 3.958 3.958
Cl 5.938 5.938 5.938
```

Results
Crystal system = cubic
Energy relative to the elements, uncorrected = -0.922 eV/atom
Space-group type = F-43m (216)

***

No. 5
First-principles (PBE-GGA) data for crystalline K2BaCl at its relaxed geometry, as listed in the Alexandria database.

Structure (extended XYZ):
```
4
Lattice="-2.187 3.997 6.631 2.187 -3.997 6.631 2.187 3.997 -6.631" Properties=species:S:1:pos:R:3 pbc="T T T"
K 0.000 0.000 0.000
K 0.000 3.997 2.359
Ba 2.187 0.000 4.296
Cl 0.000 0.000 6.491
```

Results
Crystal system = orthorhombic
Energy relative to the elements, uncorrected = -0.779 eV/atom
Space-group type = Imm2 (44)

***

No. 6
First-principles (PBE-GGA) data for crystalline K2BaCl at its relaxed geometry, as listed in the Alexandria database.

Structure (extended XYZ):
```
4
Lattice="4.301 0.000 0.000 0.000 4.301 0.000 0.000 0.000 12.730" Properties=species:S:1:pos:R:3 pbc="T T T"
K 0.000 0.000 0.000
K 2.151 2.151 3.686
Ba 0.000 0.000 7.483
Cl 2.151 2.151 8.408
```

Results
Crystal system = tetragonal
Energy relative to the elements, uncorrected = -0.803 eV/atom
Space-group type = P4mm (99)

***

No. 7
First-principles (PBE-GGA) data for crystalline K2BaCl2 at its relaxed geometry, as listed in the Alexandria database.

Structure (extended XYZ):
```
10
Lattice="8.760 0.000 0.000 0.000 8.760 0.000 0.000 0.000 6.416" Properties=species:S:1:pos:R:3 pbc="T T T"
K 1.610 2.771 0.000
K 2.771 7.151 0.000
K 5.990 1.610 0.000
K 7.151 5.990 0.000
Ba 0.000 0.000 3.208
Ba 4.380 4.380 3.208
Cl 1.901 2.479 3.208
Cl 2.479 6.859 3.208
Cl 6.281 1.901 3.208
Cl 6.859 6.281 3.208
```

Results
Crystal system = tetragonal
Energy relative to the elements, uncorrected = -1.381 eV/atom
Space-group type = P4/mbm (127)

***

No. 8
First-principles (PBE-GGA) data for crystalline K2BaCl at its relaxed geometry, as listed in the Alexandria database.

Structure (extended XYZ):
```
8
Lattice="-4.864 4.864 5.514 4.864 -4.864 5.514 4.864 4.864 -5.514" Properties=species:S:1:pos:R:3 pbc="T T T"
K 1.016 2.432 1.378
K -2.432 3.848 4.135
K -1.016 7.296 1.378
K 2.432 5.880 4.135
Ba 4.864 0.000 2.757
Ba 0.000 0.000 5.514
Cl 0.000 0.000 0.000
Cl 0.000 4.864 2.757
```

Results
Crystal system = tetragonal
Energy relative to the elements, uncorrected = -0.655 eV/atom
Space-group type = I-42d (122)

***

No. 9
First-principles (PBE-GGA) data for crystalline KBaCl2 at its relaxed geometry, as listed in the Alexandria database.

Structure (extended XYZ):
```
4
Lattice="2.488 1.436 9.010 -2.488 1.436 9.010 0.000 -2.873 9.010" Properties=species:S:1:pos:R:3 pbc="T T T"
K 0.000 0.000 0.000
Ba 0.000 0.000 13.516
Cl 0.000 0.000 3.224
Cl 0.000 0.000 23.807
```

Results
Crystal system = trigonal
Energy relative to the elements, uncorrected = -1.826 eV/atom
Space-group type = R-3m (166)

***

No. 10
First-principles (PBE-GGA) data for crystalline KBaCl2 at its relaxed geometry, as listed in the Alexandria database.

Structure (extended XYZ):
```
4
Lattice="2.164 -4.097 0.000 2.164 4.097 0.000 0.000 0.000 9.077" Properties=species:S:1:pos:R:3 pbc="T T T"
K 0.000 0.000 0.000
Ba 0.000 0.000 4.539
Cl 2.164 0.000 2.159
Cl 2.164 0.000 6.918
```

Results
Crystal system = orthorhombic
Energy relative to the elements, uncorrected = -1.741 eV/atom
Space-group type = Cmmm (65)

***

No. 11
First-principles (PBE-GGA) data for crystalline K3BaCl at its relaxed geometry, as listed in the Alexandria database.

Structure (extended XYZ):
```
5
Lattice="6.521 0.000 0.000 0.000 6.521 0.000 0.000 0.000 6.521" Properties=species:S:1:pos:R:3 pbc="T T T"
K 0.000 0.000 3.260
K 0.000 3.260 0.000
K 3.260 0.000 0.000
Ba 3.260 3.260 3.260
Cl 0.000 0.000 0.000
```

Results
Crystal system = cubic
Energy relative to the elements, uncorrected = -0.567 eV/atom
Space-group type = Pm-3m (221)

***

No. 12
First-principles (PBE-GGA) data for crystalline K2Ba3Cl8 at its relaxed geometry, as listed in the Alexandria database.

Structure (extended XYZ):
```
13
Lattice="5.673 -7.752 0.000 5.673 7.752 0.000 0.000 0.000 5.208" Properties=species:S:1:pos:R:3 pbc="T T T"
K 5.673 4.120 0.000
K 5.673 -4.120 0.000
Ba 2.411 0.000 2.604
Ba 5.673 0.000 0.000
Ba 8.934 0.000 2.604
Cl 5.673 5.879 2.604
Cl 3.021 1.768 0.000
Cl 3.021 -1.768 0.000
Cl 5.673 1.737 2.604
Cl 5.673 -1.737 2.604
Cl 8.324 1.768 0.000
Cl 8.324 -1.768 0.000
Cl 5.673 -5.879 2.604
```

Results
Crystal system = orthorhombic
Energy relative to the elements, uncorrected = -2.287 eV/atom
Space-group type = Cmmm (65)

***

No. 13
First-principles (PBE-GGA) data for crystalline K3BaCl at its relaxed geometry, as listed in the Alexandria database.

Structure (extended XYZ):
```
5
Lattice="8.281 0.000 0.000 0.000 8.281 0.000 0.000 0.000 8.281" Properties=species:S:1:pos:R:3 pbc="T T T"
K 0.000 0.000 4.141
K 0.000 4.141 0.000
K 4.141 0.000 0.000
Ba 0.000 0.000 0.000
Cl 4.141 4.141 4.141
```

Results
Crystal system = cubic
Energy relative to the elements, uncorrected = 0.166 eV/atom
Space-group type = Pm-3m (221)

***

No. 14
First-principles (PBE-GGA) data for crystalline K2BaCl at its relaxed geometry, as listed in the Alexandria database.

Structure (extended XYZ):
```
4
Lattice="0.000 4.826 4.826 4.826 0.000 4.826 4.826 4.826 0.000" Properties=species:S:1:pos:R:3 pbc="T T T"
K 2.413 2.413 2.413
K 7.239 7.239 7.239
Ba 0.000 0.000 0.000
Cl 4.826 4.826 4.826
```

Results
Crystal system = cubic
Energy relative to the elements, uncorrected = -0.281 eV/atom
Space-group type = Fm-3m (225)

***

No. 15
First-principles (PBE-GGA) data for crystalline KBaCl2 at its relaxed geometry, as listed in the Alexandria database.

Structure (extended XYZ):
```
8
Lattice="-3.638 3.638 7.319 3.638 -3.638 7.319 3.638 3.638 -7.319" Properties=species:S:1:pos:R:3 pbc="T T T"
K 0.000 0.000 0.000
K 0.000 3.638 3.660
Ba 3.638 0.000 3.660
Ba 0.000 0.000 7.319
Cl 1.819 -1.681 5.489
Cl 1.957 1.819 1.830
Cl 1.819 5.319 -1.830
Cl 1.681 1.819 9.149
```

Results
Crystal system = tetragonal
Energy relative to the elements, uncorrected = -1.700 eV/atom
Space-group type = I-42d (122)

***

No. 16
First-principles (PBE-GGA) data for crystalline KBaCl2 at its relaxed geometry, as listed in the Alexandria database.

Structure (extended XYZ):
```
4
Lattice="4.870 0.000 0.000 0.000 5.989 0.000 -0.455 0.000 6.059" Properties=species:S:1:pos:R:3 pbc="T T T"
K 0.000 0.000 0.000
Ba 1.775 2.995 3.374
Cl 1.428 2.995 0.343
Cl 1.970 0.000 3.980
```

Results
Crystal system = monoclinic
Energy relative to the elements, uncorrected = -1.777 eV/atom
Space-group type = Pm (6)

***

No. 17
First-principles (PBE-GGA) data for crystalline K2BaCl at its relaxed geometry, as listed in the Alexandria database.

Structure (extended XYZ):
```
4
Lattice="3.343 -7.124 0.000 3.343 7.124 0.000 -0.077 0.000 4.611" Properties=species:S:1:pos:R:3 pbc="T T T"
K 1.671 3.562 0.000
K 1.671 -3.562 0.000
Ba -0.039 0.000 2.306
Cl 3.304 0.000 2.306
```

Results
Crystal system = monoclinic
Energy relative to the elements, uncorrected = -0.577 eV/atom
Space-group type = C2/m (12)

***

No. 18
First-principles (PBE-GGA) data for crystalline K2BaCl4 at its relaxed geometry, as listed in the Alexandria database.

Structure (extended XYZ):
```
28
Lattice="9.288 0.000 0.000 0.000 9.288 0.000 0.000 0.000 13.091" Properties=species:S:1:pos:R:3 pbc="T T T"
K 0.000 2.222 0.000
K 0.000 7.066 6.546
K 2.222 0.000 9.818
K 2.354 2.354 4.909
K 2.354 6.935 1.636
K 6.935 2.354 8.182
K 6.935 6.935 11.455
K 7.066 0.000 3.273
Ba 2.231 4.644 9.818
Ba 4.644 2.231 0.000
Ba 4.644 7.057 6.546
Ba 7.057 4.644 3.273
Cl 0.164 2.398 9.930
Cl 0.164 6.891 9.707
Cl 2.398 0.164 12.980
Cl 2.400 4.400 12.912
Cl 2.400 4.889 6.725
Cl 2.398 9.125 6.657
Cl 4.400 2.400 9.998
Cl 4.400 6.888 9.639
Cl 4.889 2.400 3.093
Cl 4.889 6.888 3.452
Cl 6.891 0.164 0.112
Cl 6.888 4.400 0.179
Cl 6.888 4.889 6.366
Cl 6.891 9.125 6.434
Cl 9.125 2.398 3.161
Cl 9.125 6.891 3.384
```

Results
Crystal system = tetragonal
Energy relative to the elements, uncorrected = -2.169 eV/atom
Space-group type = P4_122 (91)

***

No. 19
First-principles (PBE-GGA) data for crystalline K2BaCl at its relaxed geometry, as listed in the Alexandria database.

Structure (extended XYZ):
```
4
Lattice="0.000 4.722 4.722 4.722 0.000 4.722 4.722 4.722 0.000" Properties=species:S:1:pos:R:3 pbc="T T T"
K 0.000 0.000 0.000
K 2.361 2.361 2.361
Ba 4.722 4.722 4.722
Cl 7.083 7.083 7.083
```

Results
Crystal system = cubic
Energy relative to the elements, uncorrected = -0.387 eV/atom
Space-group type = F-43m (216)

***

No. 20
First-principles (PBE-GGA) data for crystalline KBaCl2 at its relaxed geometry, as listed in the Alexandria database.

Structure (extended XYZ):
```
4
Lattice="-2.200 2.200 9.022 2.200 -2.200 9.022 2.200 2.200 -9.022" Properties=species:S:1:pos:R:3 pbc="T T T"
K 0.000 0.000 0.000
Ba 2.200 0.000 4.511
Cl 0.000 0.000 9.022
Cl 0.000 2.200 4.511
```

Results
Crystal system = tetragonal
Energy relative to the elements, uncorrected = -1.652 eV/atom
Space-group type = I-4m2 (119)

***

No. 21
First-principles (PBE-GGA) data for crystalline K2BaCl4 at its relaxed geometry, as listed in the Alexandria database.

Structure (extended XYZ):
```
14
Lattice="2.182 -7.491 0.000 2.182 7.491 0.000 0.000 0.000 14.673" Properties=species:S:1:pos:R:3 pbc="T T T"
K 2.182 5.547 8.326
K 2.182 5.547 13.684
K 2.182 -5.547 0.989
K 2.182 -5.547 6.347
Ba 2.182 1.791 11.005
Ba 2.182 -1.791 3.668
Cl 2.182 7.122 11.005
Cl 2.182 4.251 1.861
Cl 2.182 4.251 5.475
Cl 2.182 0.000 0.000
Cl 2.182 0.000 7.337
Cl 2.182 -4.251 9.198
Cl 2.182 -4.251 12.812
Cl 2.182 -7.122 3.668
```

Results
Crystal system = orthorhombic
Energy relative to the elements, uncorrected = -2.172 eV/atom
Space-group type = Cmcm (63)

***

No. 22
First-principles (PBE-GGA) data for crystalline K2BaCl at its relaxed geometry, as listed in the Alexandria database.

Structure (extended XYZ):
```
4
Lattice="-2.213 2.227 12.127 2.213 -2.227 12.127 2.213 2.227 -12.127" Properties=species:S:1:pos:R:3 pbc="T T T"
K 0.000 0.000 4.273
K 0.000 0.000 19.981
Ba 0.000 2.227 0.000
Cl 2.213 0.000 0.000
```

Results
Crystal system = orthorhombic
Energy relative to the elements, uncorrected = -0.794 eV/atom
Space-group type = Immm (71)

***

No. 23
First-principles (PBE-GGA) data for crystalline KBa4Cl8 at its relaxed geometry, as listed in the Alexandria database.

Structure (extended XYZ):
```
13
Lattice="7.517 0.000 0.000 0.000 7.517 0.000 0.000 0.000 7.517" Properties=species:S:1:pos:R:3 pbc="T T T"
K 0.000 0.000 0.000
Ba 0.000 0.000 3.758
Ba 0.000 3.758 0.000
Ba 3.758 0.000 0.000
Ba 3.758 3.758 3.758
Cl 1.835 1.835 1.835
Cl 1.835 1.835 5.682
Cl 1.835 5.682 1.835
Cl 1.835 5.682 5.682
Cl 5.682 1.835 1.835
Cl 5.682 1.835 5.682
Cl 5.682 5.682 1.835
Cl 5.682 5.682 5.682
```

Results
Crystal system = cubic
Energy relative to the elements, uncorrected = -2.244 eV/atom
Space-group type = Pm-3m (221)